Record 1
VASP calculation (meta-GGA SCAN) on a PBEsol-optimized structure of CaTcHg2.

Results
D(E_F): 3.14 states/eV per cell
formation enthalpy at 0 K: 0.98 eV per formula unit
calculated volume: 79 Å³ per cell
VASP energy: -1.6545 Ha/atom
excess energy over the best structure of this formula in the dataset: 0.0 meV/atom

Unit cell a=5.3766 b=5.3766 c=5.3766 alpha=134.12 beta=134.12 gamma=66.90
Fractional coordinates of all 4 atoms:
Ca: 0.0000 0.0000 0.0000
Tc: 0.2500 0.7500 0.5000
Hg: 0.5000 0.5000 0.0000
Hg: 0.7500 0.2500 0.5000

Record 2
VASP calculation (meta-GGA SCAN) on a PBEsol-optimized structure of TlPd2Pb.

Results
D(E_F): 1.79 states/eV per cell
formation enthalpy at 0 K: -0.35 eV per formula unit
calculated volume: 76 Å³ per cell
VASP energy: -1.9664 Ha/atom

Unit cell a=4.7563 b=4.7563 c=4.7563 alpha=60.00 beta=60.00 gamma=60.00
Fractional coordinates of all 4 atoms:
Tl: 0.0000 0.0000 0.0000
Pd: 0.2500 0.2500 0.2500
Pd: 0.7500 0.7500 0.7500
Pb: 0.5000 0.5000 0.5000

Record 3
VASP calculation (meta-GGA SCAN) on a PBEsol-optimized structure of CsCdAs2Se.

Results
formation energy from raw total energies: 0.19 eV per atom
D(E_F): 3.33 states/eV per cell
calculated volume: 147 Å³ per cell
VASP energy: -0.9387 Ha/atom

Unit cell a=5.2061 b=5.2061 c=5.4355 alpha=90.00 beta=90.00 gamma=90.00
Fractional coordinates of all 5 atoms:
Cs: 0.0000 0.0000 0.0000
Cd: 0.5000 0.5000 0.5000
As: 0.0000 0.5000 0.5000
As: 0.5000 0.0000 0.5000
Se: 0.5000 0.5000 0.0000